Record 1
## BeVH (PBE)

Data for a relaxed structure of BeVH.

Lattice parameters (Å, degrees): 3.4834 3.4834 3.4834 125.91 125.91 80.04
Fractional coordinates of all 3 atoms:
Be1 0.0000 0.0000 0.0000
V1 0.5758 0.5758 0.0000
H1 0.2561 0.2561 0.0000

Summary:
As for the crystal system: tetragonal. For the polymorph energy (0 for the lowest one), the calculation gives 79.4 kJ per mole of atoms. Its space group is I4mm.


Record 2
## BeVH (PBE)

Data for a relaxed structure of BeVH.

Lattice parameters (Å, degrees): 2.6009 2.6009 8.8442 90.00 90.00 120.00
Fractional coordinates of all 6 atoms:
Be1 0.0000 0.0000 0.1323
Be2 0.0000 0.0000 0.8677
V1 0.6667 0.3333 0.3546
V2 0.6667 0.3333 0.6454
H1 0.3333 0.6667 0.0000
H2 0.3333 0.6667 0.5000

Summary:
As for the crystal system: hexagonal. For the polymorph energy (0 for the lowest one), the calculation gives 50.2 kJ per mole of atoms. Its space group is P-6m2.


Record 3
## BeVH (PBE)

Data for a relaxed structure of BeVH.

Lattice parameters (Å, degrees): 3.7387 3.7387 4.4737 90.00 90.00 120.00
Fractional coordinates of all 6 atoms:
Be1 0.3333 0.6667 0.2500
Be2 0.6667 0.3333 0.7500
V1 0.3333 0.6667 0.7500
V2 0.6667 0.3333 0.2500
H1 0.0000 0.0000 0.0000
H2 0.0000 0.0000 0.5000

Summary:
As for the crystal system: hexagonal. For the polymorph energy (0 for the lowest one), the calculation gives 100.7 kJ per mole of atoms. Its space group is P6_3/mmc.


Record 4
## Be2V8H (PBE)

Data for a relaxed structure of Be2V8H.

Lattice parameters (Å, degrees): 7.1272 7.1272 4.8543 109.36 109.36 33.40
Fractional coordinates of all 11 atoms:
Be1 0.1763 0.1763 0.1071
Be2 0.8237 0.8237 0.8929
V1 0.0036 0.0036 0.7558
V2 0.2166 0.2166 0.6271
V3 0.3726 0.3726 0.2350
V4 0.4063 0.4063 0.7736
V5 0.5937 0.5937 0.2264
V6 0.6274 0.6274 0.7650
V7 0.7834 0.7834 0.3729
V8 0.9964 0.9964 0.2442
H1 0.5000 0.5000 0.5000

Summary:
As for the crystal system: monoclinic. Its space group is C2/m.


Record 5
## BeVH (PBE)

Data for a relaxed structure of BeVH.

Lattice parameters (Å, degrees): 3.2399 4.7336 4.7336 40.45 90.00 90.00
Fractional coordinates of all 6 atoms:
Be1 0.0000 0.0000 0.0000
Be2 0.5000 0.1498 0.1498
V1 0.0000 0.7340 0.7340
V2 0.5000 0.4251 0.4251
H1 0.0000 0.1749 0.1749
H2 0.0000 0.5229 0.5229

Summary:
As for the crystal system: orthorhombic. For the polymorph energy (0 for the lowest one), the calculation gives 16.5 kJ per mole of atoms. Its space group is Amm2.


Record 6
## BeV4H2 (PBE)

Data for a relaxed structure of BeV4H2.

Lattice parameters (Å, degrees): 5.3418 5.3418 5.3418 135.94 135.94 64.07
Fractional coordinates of all 7 atoms:
Be1 0.0000 0.0000 0.0000
V1 0.0000 0.5000 0.5000
V2 0.2449 0.2449 0.0000
V3 0.5000 0.0000 0.5000
V4 0.7551 0.7551 0.0000
H1 0.4325 0.4325 0.0000
H2 0.5675 0.5675 0.0000

Summary:
As for the crystal system: tetragonal. Its space group is I4/mmm.


| no. | calculated total energy (eV per atom) |
| --- | --- |
| 1 | -4.81 |
| 2 | -5.11 |
| 3 | -4.59 |
| 4 | -7.55 |
| 5 | -5.46 |
| 6 | -6.18 |